A crystal of TcHgTe2 relaxed with PBEsol. Source: Alexandria, functional SCAN.

Cell: 3.303 3.990 8.190 Å, 95.56 90.00 114.46°
Positions (direct):
1 Te 0.220 0.439 0.187
2 Tc 0.500 0.000 0.000
3 Te 0.780 0.561 0.813
4 Hg 0.000 0.000 0.500

space group	No. 12

=====

A crystal of TcHgTe2 relaxed with PBEsol. Source: Alexandria, functional SCAN.

Cell: 4.972 4.972 4.972 Å, 60.00 60.00 60.00°
Site moments in Bohr magnetons follow the coordinates.
Positions (direct):
1 Te 0.000 0.000 0.000  -0.06
2 Tc 0.250 0.250 0.250  2.80
3 Hg 0.500 0.500 0.500  0.02
4 Te 0.750 0.750 0.750  -0.02

space group	No. 216

=====

no.,uncorrected formation energy (eV per atom),M_tot (μB/f.u.)
1,0.02,0.000
2,0.86,2.946